Entry 1:
A PBEsol-optimized structure of AlNi2Se, computed with SCAN.

Computed properties:
Its symmetry is Fm-3m (225). As for the formation energy from raw total energies: -36.5 meV/atom.

Cell lengths 4.175, 4.175, 4.175 Å; angles 60.00, 60.00, 60.00 degrees
Sites, in units of the cell vectors:
Al 0.000 0.000 0.000
Ni 0.250 0.250 0.250
Ni 0.750 0.750 0.750
Se 0.500 0.500 0.500


Entry 2:
A PBEsol-optimized structure of AlNi2Se, computed with SCAN.

Computed properties:
Its symmetry is P4mm (99). As for the formation energy from raw total energies: -219.4 meV/atom.

Cell lengths 3.259, 3.259, 4.923 Å; angles 90.00, 90.00, 90.00 degrees
Sites, in units of the cell vectors:
Al 0.000 0.000 0.000
Ni 0.000 0.000 0.488
Ni 0.500 0.500 0.187
Se 0.500 0.500 0.663


Entry 3:
A PBEsol-optimized structure of AlNi2Se, computed with SCAN.

Computed properties:
Its symmetry is C2/m (12). As for the formation energy from raw total energies: -129.0 meV/atom.

Cell lengths 4.094, 4.094, 4.790 Å; angles 101.15, 101.15, 41.69 degrees
Sites, in units of the cell vectors:
Al 0.000 0.000 0.000
Ni 0.252 0.252 0.765
Ni 0.748 0.748 0.235
Se 0.500 0.500 0.500


Entry 4:
A PBEsol-optimized structure of AlNi2Se, computed with SCAN.

Computed properties:
Its symmetry is Pmm2 (25). As for the formation energy from raw total energies: -144.4 meV/atom.

Cell lengths 3.124, 4.266, 3.943 Å; angles 90.00, 90.00, 90.00 degrees
Sites, in units of the cell vectors:
Al 0.000 0.000 0.000
Ni 0.000 0.500 0.701
Ni 0.500 0.000 0.504
Se 0.500 0.500 0.224


Entry 5:
A PBEsol-optimized structure of Al2SiNi2, computed with SCAN.

Computed properties:
The value obtained for the energy above the most stable polymorph in this dataset is 619 meV/atom. Its symmetry is I4/mmm (139). As for the formation energy from raw total energies: -15.5 meV/atom.

Cell lengths 6.043, 6.043, 6.043 Å; angles 145.95, 145.95, 48.93 degrees
Sites, in units of the cell vectors:
Al 0.250 0.750 0.500
Al 0.750 0.250 0.500
Si 0.000 0.000 0.000
Ni 0.396 0.396 0.000
Ni 0.604 0.604 0.000


Entry 6:
A PBEsol-optimized structure of AlSiNi, computed with SCAN.

Computed properties:
Its symmetry is P6_3/mmc (194). As for the formation energy from raw total energies: 146.7 meV/atom.

Cell lengths 4.254, 4.254, 5.071 Å; angles 90.00, 90.00, 120.00 degrees
Sites, in units of the cell vectors:
Al 0.333 0.667 0.250
Al 0.667 0.333 0.750
Si 0.333 0.667 0.750
Si 0.667 0.333 0.250
Ni 0.000 0.000 0.000
Ni 0.000 0.000 0.500


Entry 7:
A PBEsol-optimized structure of AlSiNi, computed with SCAN.

Computed properties:
Its symmetry is P-62c (190). As for the formation energy from raw total energies: -440.2 meV/atom.

Cell lengths 6.317, 6.317, 6.593 Å; angles 90.00, 90.00, 120.00 degrees
Sites, in units of the cell vectors:
Al 0.019 0.623 0.250
Al 0.377 0.396 0.250
Al 0.396 0.377 0.750
Al 0.604 0.981 0.250
Al 0.623 0.019 0.750
Al 0.981 0.604 0.750
Si 0.000 0.265 0.000
Si 0.000 0.265 0.500
Si 0.265 0.000 0.000
Si 0.265 0.000 0.500
Si 0.735 0.735 0.000
Si 0.735 0.735 0.500
Ni 0.000 0.000 0.250
Ni 0.000 0.000 0.750
Ni 0.333 0.667 0.523
Ni 0.333 0.667 0.977
Ni 0.667 0.333 0.023
Ni 0.667 0.333 0.477


Entry 8:
A PBEsol-optimized structure of Al4SiNi, computed with SCAN.

Computed properties:
Its symmetry is F-43m (216). As for the formation energy from raw total energies: 408.3 meV/atom.

Cell lengths 5.090, 5.090, 5.090 Å; angles 60.00, 60.00, 60.00 degrees
Sites, in units of the cell vectors:
Al 0.125 0.125 0.125
Al 0.125 0.125 0.624
Al 0.125 0.624 0.125
Al 0.624 0.125 0.125
Si 0.750 0.750 0.750
Ni 0.500 0.500 0.500


Entry 9:
A PBEsol-optimized structure of AlSi3Ni, computed with SCAN.

Computed properties:
Its symmetry is Pm-3m (221). As for the formation energy from raw total energies: 521.3 meV/atom.

Cell lengths 4.374, 4.374, 4.374 Å; angles 90.00, 90.00, 90.00 degrees
Sites, in units of the cell vectors:
Al 0.000 0.000 0.000
Si 0.000 0.500 0.500
Si 0.500 0.000 0.500
Si 0.500 0.500 0.000
Ni 0.500 0.500 0.500


Entry 10:
A PBEsol-optimized structure of AlSiNi2, computed with SCAN.

Computed properties:
Its symmetry is P-3m1 (164). As for the formation energy from raw total energies: -393.4 meV/atom.

Cell lengths 2.670, 2.670, 7.554 Å; angles 90.00, 90.00, 120.00 degrees
Sites, in units of the cell vectors:
Al 0.000 0.000 0.000
Si 0.000 0.000 0.500
Ni 0.333 0.667 0.738
Ni 0.667 0.333 0.262


Entry 11:
A PBEsol-optimized structure of AlSiNi2, computed with SCAN.

Computed properties:
Its symmetry is P6_3/mmc (194). As for the formation energy from raw total energies: -655.3 meV/atom.

Cell lengths 3.823, 3.823, 7.541 Å; angles 90.00, 90.00, 120.00 degrees
Sites, in units of the cell vectors:
Al 0.333 0.667 0.250
Al 0.667 0.333 0.750
Si 0.000 0.000 0.000
Si 0.000 0.000 0.500
Ni 0.333 0.667 0.584
Ni 0.333 0.667 0.916
Ni 0.667 0.333 0.084
Ni 0.667 0.333 0.416


Entry 12:
A PBEsol-optimized structure of AlSiNi2, computed with SCAN.

Computed properties:
Its symmetry is P-3m1 (164). As for the formation energy from raw total energies: -161.1 meV/atom.

Cell lengths 3.452, 3.452, 5.235 Å; angles 90.00, 90.00, 120.00 degrees
Sites, in units of the cell vectors:
Al 0.000 0.000 0.000
Si 0.000 0.000 0.500
Ni 0.333 0.667 0.300
Ni 0.667 0.333 0.700